CrSb: optimized geometry, GGA-PBE.

Cell lengths 5.0364, 5.0364, 7.4504 Å; angles 90.00, 90.00, 120.00 degrees
Space group P6_3/mmc (No. 194)
One atom of each set of equivalent atoms:
Cr 0.3333 0.6667 0.1209 x4
Sb 0.0000 0.0000 0.2500 x2
Sb 0.3333 0.6667 0.7500 x2

Output
mass density: 7.05 g cm⁻³
E: -6.058 eV per atom
magnetization: 0.385 μB per atom
D(E_F): 1.04 states/eV/atom
V: 163.7 Å³ per cell